[1]
Compound: BaB2Ru
Source: Alexandria
Functional: PBE-GGA
Structure: optimized geometry

Structure (CIF):
```
data_BaB2Ru
_chemical_formula_sum 'Ba1 B2 Ru1'
_space_group_name_H-M_alt 'P 1'
_space_group_IT_number 1
_space_group_name_Hall 'P 1'
_cell_length_a 4.528
_cell_length_b 4.528
_cell_length_c 4.528
_cell_angle_alpha 60.00
_cell_angle_beta 60.00
_cell_angle_gamma 60.00
loop_
_atom_site_label
_atom_site_fract_x
_atom_site_fract_y
_atom_site_fract_z
_atom_site_occupancy
Ru1 0.000 0.000 0.000 1
B1 0.250 0.250 0.250 1
B2 0.750 0.750 0.750 1
Ba1 0.500 0.500 0.500 1
```

Calculated values
space group = No. 225
M_tot = 0.00 μB per cell
energy = -4.58 eV/atom
relative energy among the computed polymorphs = 1509 meV per atom
energy relative to the elements = 1.556 eV/atom

[2]
Compound: BaBRu
Source: Alexandria
Functional: PBE-GGA
Structure: optimized geometry

Structure (CIF):
```
data_BaBRu
_chemical_formula_sum 'Ba2 B2 Ru2'
_space_group_name_H-M_alt 'P 1'
_space_group_IT_number 1
_space_group_name_Hall 'P 1'
_cell_length_a 4.097
_cell_length_b 4.097
_cell_length_c 9.517
_cell_angle_alpha 90.00
_cell_angle_beta 90.00
_cell_angle_gamma 90.00
loop_
_atom_site_label
_atom_site_fract_x
_atom_site_fract_y
_atom_site_fract_z
_atom_site_occupancy
B1 0.500 0.000 0.561 1
B2 0.000 0.500 0.439 1
Ba1 0.500 0.000 0.228 1
Ba2 0.000 0.500 0.772 1
Ru1 0.500 0.500 0.500 1
Ru2 0.000 0.000 0.500 1
```

Calculated values
space group = No. 129
M_tot = 0.99 μB per cell
energy = -6.18 eV/atom
energy relative to the elements = -0.223 eV/atom

[3]
Compound: BaBRu3
Source: Alexandria
Functional: PBE-GGA
Structure: optimized geometry

Structure (CIF):
```
data_BaBRu3
_chemical_formula_sum 'Ba1 B1 Ru3'
_space_group_name_H-M_alt 'P 1'
_space_group_IT_number 1
_space_group_name_Hall 'P 1'
_cell_length_a 5.080
_cell_length_b 5.080
_cell_length_c 5.080
_cell_angle_alpha 90.00
_cell_angle_beta 90.00
_cell_angle_gamma 90.00
loop_
_atom_site_label
_atom_site_fract_x
_atom_site_fract_y
_atom_site_fract_z
_atom_site_occupancy
Ru1 0.000 0.500 0.000 1
Ru2 0.000 0.000 0.500 1
Ru3 0.500 0.000 0.000 1
B1 0.500 0.500 0.500 1
Ba1 0.000 0.000 0.000 1
```

Calculated values
space group = No. 221
M_tot = 4.37 μB per cell
energy = -3.79 eV/atom
relative energy among the computed polymorphs = 2982 meV per atom
energy relative to the elements = 3.496 eV/atom

[4]
Compound: BaB2Ru
Source: Alexandria
Functional: PBE-GGA
Structure: optimized geometry

Structure (CIF):
```
data_BaB2Ru
_chemical_formula_sum 'Ba2 B4 Ru2'
_space_group_name_H-M_alt 'P 1'
_space_group_IT_number 1
_space_group_name_Hall 'P 1'
_cell_length_a 5.240
_cell_length_b 5.240
_cell_length_c 7.047
_cell_angle_alpha 68.17
_cell_angle_beta 68.17
_cell_angle_gamma 90.00
loop_
_atom_site_label
_atom_site_fract_x
_atom_site_fract_y
_atom_site_fract_z
_atom_site_occupancy
Ru1 0.500 0.500 0.000 1
Ru2 0.250 0.750 0.500 1
B1 0.375 0.125 0.250 1
B2 0.375 0.625 0.250 1
B3 0.375 0.625 0.750 1
B4 0.875 0.625 0.750 1
Ba1 0.000 0.000 0.000 1
Ba2 0.750 0.250 0.500 1
```

Calculated values
space group = No. 141
M_tot = 0.00 μB per cell
energy = -6.09 eV/atom
relative energy among the computed polymorphs = 0 meV per atom
energy relative to the elements = 0.047 eV/atom

[5]
Compound: BaBRu3
Source: Alexandria
Functional: PBE-GGA
Structure: optimized geometry

Structure (CIF):
```
data_BaBRu3
_chemical_formula_sum 'Ba1 B1 Ru3'
_space_group_name_H-M_alt 'P 1'
_space_group_IT_number 1
_space_group_name_Hall 'P 1'
_cell_length_a 4.358
_cell_length_b 4.358
_cell_length_c 4.358
_cell_angle_alpha 90.00
_cell_angle_beta 90.00
_cell_angle_gamma 90.00
loop_
_atom_site_label
_atom_site_fract_x
_atom_site_fract_y
_atom_site_fract_z
_atom_site_occupancy
Ru1 0.000 0.500 0.000 1
Ru2 0.000 0.000 0.500 1
Ru3 0.500 0.000 0.000 1
B1 0.000 0.000 0.000 1
Ba1 0.500 0.500 0.500 1
```

Calculated values
space group = No. 221
M_tot = 0.00 μB per cell
energy = -6.77 eV/atom
relative energy among the computed polymorphs = 0 meV per atom
energy relative to the elements = 0.514 eV/atom

[6]
Compound: Ba2BRu
Source: Alexandria
Functional: PBE-GGA
Structure: optimized geometry

Structure (CIF):
```
data_Ba2BRu
_chemical_formula_sum 'Ba4 B2 Ru2'
_space_group_name_H-M_alt 'P 1'
_space_group_IT_number 1
_space_group_name_Hall 'P 1'
_cell_length_a 8.214
_cell_length_b 8.214
_cell_length_c 6.633
_cell_angle_alpha 51.74
_cell_angle_beta 51.74
_cell_angle_gamma 90.00
loop_
_atom_site_label
_atom_site_fract_x
_atom_site_fract_y
_atom_site_fract_z
_atom_site_occupancy
Ru1 0.000 0.000 0.000 1
Ru2 0.750 0.250 0.500 1
B1 0.500 0.500 0.000 1
B2 0.250 0.750 0.500 1
Ba1 0.625 0.125 0.250 1
Ba2 0.125 0.625 0.250 1
Ba3 0.375 0.375 0.750 1
Ba4 0.875 0.875 0.750 1
```

Calculated values
space group = No. 122
M_tot = 1.34 μB per cell
energy = -3.64 eV/atom
energy relative to the elements = 1.305 eV/atom

[7]
Compound: BaTiBRu2
Source: Alexandria
Functional: PBE-GGA
Structure: optimized geometry

Structure (CIF):
```
data_BaTiBRu2
_chemical_formula_sum 'Ba1 Ti1 B1 Ru2'
_space_group_name_H-M_alt 'P 1'
_space_group_IT_number 1
_space_group_name_Hall 'P 1'
_cell_length_a 4.417
_cell_length_b 4.417
_cell_length_c 4.417
_cell_angle_alpha 90.00
_cell_angle_beta 90.00
_cell_angle_gamma 90.00
loop_
_atom_site_label
_atom_site_fract_x
_atom_site_fract_y
_atom_site_fract_z
_atom_site_occupancy
Ru1 0.000 0.000 0.500 1
Ru2 0.500 0.000 0.000 1
B1 0.000 0.000 0.000 1
Ba1 0.500 0.500 0.500 1
Ti1 0.000 0.500 0.000 1
```

Calculated values
space group = No. 123
M_tot = 0.00 μB per cell
energy = -6.61 eV/atom
energy relative to the elements = 0.401 eV/atom

[8]
Compound: BaB2S4
Source: Alexandria
Functional: PBE-GGA
Structure: optimized geometry

Structure (CIF):
```
data_BaB2S4
_chemical_formula_sum 'Ba2 B4 S8'
_space_group_name_H-M_alt 'P 1'
_space_group_IT_number 1
_space_group_name_Hall 'P 1'
_cell_length_a 8.020
_cell_length_b 10.275
_cell_length_c 10.140
_cell_angle_alpha 115.29
_cell_angle_beta 86.27
_cell_angle_gamma 142.07
loop_
_atom_site_label
_atom_site_fract_x
_atom_site_fract_y
_atom_site_fract_z
_atom_site_occupancy
Ba1 0.155 0.641 0.515 1
Ba2 0.095 0.110 0.985 1
B1 0.625 0.375 0.750 1
B2 0.625 0.875 0.250 1
B3 0.624 0.374 0.250 1
B4 0.126 0.376 0.750 1
S1 0.711 0.040 0.185 1
S2 0.539 0.711 0.315 1
S3 0.998 0.683 0.829 1
S4 0.888 0.210 0.822 1
S5 0.406 0.244 0.338 1
S6 0.252 0.067 0.671 1
S7 0.363 0.541 0.678 1
S8 0.843 0.504 0.162 1
```

Calculated values
space group = No. 8
M_tot = 0.00 μB per cell
energy = -5.34 eV/atom
energy relative to the elements, uncorrected = -536.9 kJ/mol of formula units

[9]
Compound: BaBS3
Source: Alexandria
Functional: PBE-GGA
Structure: optimized geometry

Structure (CIF):
```
data_BaBS3
_chemical_formula_sum 'Ba2 B2 S6'
_space_group_name_H-M_alt 'P 1'
_space_group_IT_number 1
_space_group_name_Hall 'P 1'
_cell_length_a 4.493
_cell_length_b 7.920
_cell_length_c 9.591
_cell_angle_alpha 114.13
_cell_angle_beta 75.36
_cell_angle_gamma 121.43
loop_
_atom_site_label
_atom_site_fract_x
_atom_site_fract_y
_atom_site_fract_z
_atom_site_occupancy
Ba1 0.378 0.492 0.289 1
Ba2 0.941 0.814 0.851 1
B1 0.380 0.908 0.166 1
B2 0.557 0.166 0.515 1
S1 0.583 0.848 0.628 1
S2 0.676 0.422 0.523 1
S3 0.624 0.127 0.096 1
S4 0.156 0.636 0.042 1
S5 0.339 0.913 0.363 1
S6 0.659 0.150 0.680 1
```

Calculated values
space group = No. 1
M_tot = 0.00 μB per cell
energy = -5.29 eV/atom
energy relative to the elements, uncorrected = -527.8 kJ/mol of formula units
relative energy among the computed polymorphs = 0 meV per atom

[10]
Compound: BaBS3
Source: Alexandria
Functional: PBE-GGA
Structure: optimized geometry

Structure (CIF):
```
data_BaBS3
_chemical_formula_sum 'Ba1 B1 S3'
_space_group_name_H-M_alt 'P 1'
_space_group_IT_number 1
_space_group_name_Hall 'P 1'
_cell_length_a 6.016
_cell_length_b 6.016
_cell_length_c 6.016
_cell_angle_alpha 90.00
_cell_angle_beta 90.00
_cell_angle_gamma 90.00
loop_
_atom_site_label
_atom_site_fract_x
_atom_site_fract_y
_atom_site_fract_z
_atom_site_occupancy
S1 0.000 0.500 0.000 1
S2 0.000 0.000 0.500 1
S3 0.500 0.000 0.000 1
B1 0.500 0.500 0.500 1
Ba1 0.000 0.000 0.000 1
```

Calculated values
space group = No. 221
M_tot = 3.00 μB per cell
energy = -2.87 eV/atom
energy relative to the elements, uncorrected = 641.7 kJ/mol of formula units
relative energy among the computed polymorphs = 2424 meV per atom

[11]
Compound: BaBS
Source: Alexandria
Functional: PBE-GGA
Structure: optimized geometry

Structure (CIF):
```
data_BaBS
_chemical_formula_sum 'Ba2 B2 S2'
_space_group_name_H-M_alt 'P 1'
_space_group_IT_number 1
_space_group_name_Hall 'P 1'
_cell_length_a 4.253
_cell_length_b 4.882
_cell_length_c 7.348
_cell_angle_alpha 109.40
_cell_angle_beta 106.82
_cell_angle_gamma 90.00
loop_
_atom_site_label
_atom_site_fract_x
_atom_site_fract_y
_atom_site_fract_z
_atom_site_occupancy
Ba1 0.645 0.145 0.290 1
Ba2 0.355 0.855 0.710 1
B1 0.688 0.500 0.000 1
B2 0.312 0.500 0.000 1
S1 0.109 0.609 0.218 1
S2 0.891 0.391 0.782 1
```

Calculated values
space group = No. 71
M_tot = 0.00 μB per cell
energy = -4.84 eV/atom
energy relative to the elements, uncorrected = -174.3 kJ/mol of formula units

Question: Which value of M_tot does entry 11 give?
Answer: 0.00 μB per cell

What did the first record say?
Compound: BaB2Ru
Source: Alexandria
Functional: PBE-GGA
Structure: optimized geometry

Structure (CIF):
```
data_BaB2Ru
_chemical_formula_sum 'Ba1 B2 Ru1'
_space_group_name_H-M_alt 'P 1'
_space_group_IT_number 1
_space_group_name_Hall 'P 1'
_cell_length_a 4.528
_cell_length_b 4.528
_cell_length_c 4.528
_cell_angle_alpha 60.00
_cell_angle_beta 60.00
_cell_angle_gamma 60.00
loop_
_atom_site_label
_atom_site_fract_x
_atom_site_fract_y
_atom_site_fract_z
_atom_site_occupancy
Ru1 0.000 0.000 0.000 1
B1 0.250 0.250 0.250 1
B2 0.750 0.750 0.750 1
Ba1 0.500 0.500 0.500 1
```

Calculated values
space group = No. 225
M_tot = 0.00 μB per cell
energy = -4.58 eV/atom
relative energy among the computed polymorphs = 1509 meV per atom
energy relative to the elements = 1.556 eV/atom

Question: What is the M_tot in the eleventh record?
Answer: 0.00 μB per cell